# Na2PmPrO4 | the Alexandria database | PBE | relaxed
# Uncorrected formation energy ... -2.6088 eV/atom
# E ... -0.2429 Ha/atom
# N(E_F) ... 0.000 states/eV/f.u.
# Volume ... 126 Å³/cell
data_Na2PmPrO4
_cell_length_a 6.008
_cell_length_b 3.592
_cell_length_c 6.222
_cell_angle_alpha 90.00
_cell_angle_beta 110.21
_cell_angle_gamma 90.00
_symmetry_space_group_name_H-M 'P 1 2/m 1'
_symmetry_Int_Tables_number 10
_symmetry_space_group_name_Hall '-P 2y'
loop_
_atom_site_label
_atom_site_type_symbol
_atom_site_fract_x
_atom_site_fract_y
_atom_site_fract_z
Na1 Na 0.000 0.000 0.000
Na2 Na 0.000 0.500 0.500
Pm1 Pm 0.500 0.000 0.500
Pr1 Pr 0.500 0.500 0.000
O1 O 0.283 0.000 0.757
O2 O 0.284 0.500 0.265